Below is Ta2CdW after structural relaxation, with properties calculated at the GGA-PBE level.

Calculated values
Magnetization ... 0.0 μB/cell
Theoretical density ... 15.1 g/cm3
DOS(E_F) ... 0.67 states/eV per atom
E_tot ... -8.9248 eV per atom

Cell: 6.6098 6.6098 6.6098 Å, 90.00 90.00 90.00°
Sites, in units of the cell vectors:
Ta  0.0000  0.0000  0.0000
Ta  0.0000  0.5000  0.5000
Ta  0.2500  0.2500  0.2500
Ta  0.2500  0.7500  0.7500
Ta  0.5000  0.0000  0.5000
Ta  0.5000  0.5000  0.0000
Ta  0.7500  0.2500  0.7500
Ta  0.7500  0.7500  0.2500
Cd  0.2500  0.2500  0.7500
Cd  0.2500  0.7500  0.2500
Cd  0.7500  0.2500  0.2500
Cd  0.7500  0.7500  0.7500
W  0.0000  0.0000  0.5000
W  0.0000  0.5000  0.0000
W  0.5000  0.0000  0.0000
W  0.5000  0.5000  0.5000

---

Below is TaCd2W after structural relaxation, with properties calculated at the GGA-PBE level.

Calculated values
Magnetization ... 0.0 μB/cell
Theoretical density ... 13.0 g/cm3
DOS(E_F) ... 0.63 states/eV per atom
E_tot ... -6.0045 eV per atom

Cell: 6.6987 6.6987 6.6987 Å, 90.00 90.00 90.00°
Sites, in units of the cell vectors:
Ta  0.0000  0.0000  0.0000
Ta  0.0000  0.5000  0.5000
Ta  0.5000  0.0000  0.5000
Ta  0.5000  0.5000  0.0000
Cd  0.0000  0.0000  0.5000
Cd  0.0000  0.5000  0.0000
Cd  0.2500  0.2500  0.7500
Cd  0.2500  0.7500  0.2500
Cd  0.5000  0.0000  0.0000
Cd  0.5000  0.5000  0.5000
Cd  0.7500  0.2500  0.2500
Cd  0.7500  0.7500  0.7500
W  0.2500  0.2500  0.2500
W  0.2500  0.7500  0.7500
W  0.7500  0.2500  0.7500
W  0.7500  0.7500  0.2500

---

Below is TaCdW2 after structural relaxation, with properties calculated at the GGA-PBE level.

Calculated values
Magnetization ... 0.0 μB/cell
Theoretical density ... 15.6 g/cm3
DOS(E_F) ... 0.61 states/eV per atom
E_tot ... -9.1856 eV per atom

Cell: 2.7067 4.5509 5.7294 Å, 90.00 90.00 90.00°
Sites, in units of the cell vectors:
Ta  0.0000  0.0000  0.0000
Cd  0.0000  0.0000  0.5000
W  0.5000  0.5000  0.2422
W  0.5000  0.5000  0.7578

---

Below is TaCdW2 after structural relaxation, with properties calculated at the GGA-PBE level.

Calculated values
Magnetization ... 0.0 μB/cell
Theoretical density ... 15.6 g/cm3
DOS(E_F) ... 0.93 states/eV per atom
E_tot ... -9.3915 eV per atom

Cell: 3.2668 4.5082 9.5426 Å, 90.00 90.00 90.00°
Sites, in units of the cell vectors:
Ta  0.0000  0.0000  0.0000
Ta  0.5000  0.5000  0.0000
Cd  0.0000  0.0000  0.5000
Cd  0.5000  0.5000  0.5000
W  0.0000  0.5000  0.2405
W  0.0000  0.5000  0.7595
W  0.5000  0.0000  0.2405
W  0.5000  0.0000  0.7595

---

Below is TaCd2W after structural relaxation, with properties calculated at the GGA-PBE level.

Calculated values
Magnetization ... 0.0 μB/cell
Theoretical density ... 13.3 g/cm3
DOS(E_F) ... 0.52 states/eV per atom
E_tot ... -6.1808 eV per atom

Cell: 5.6150 9.4785 2.8060 Å, 90.00 99.49 90.00°
Sites, in units of the cell vectors:
Ta  0.0000  0.0000  0.0000
Ta  0.5000  0.5000  0.0000
Cd  0.2500  0.2500  0.5000
Cd  0.2500  0.7500  0.5000
Cd  0.7500  0.2500  0.5000
Cd  0.7500  0.7500  0.5000
W  0.0000  0.5000  0.0000
W  0.5000  0.0000  0.0000

---

Below is TaCdW2 after structural relaxation, with properties calculated at the GGA-PBE level.

Calculated values
Magnetization ... 0.0 μB/cell
Theoretical density ... 15.4 g/cm3
DOS(E_F) ... 1.57 states/eV per atom
E_tot ... -9.1453 eV per atom

Cell: 2.8595 2.8595 30.1684 Å, 90.00 90.00 120.00°
Sites, in units of the cell vectors:
Ta  0.0000  0.0000  0.0000
Ta  0.3333  0.6667  0.6667
Ta  0.6667  0.3333  0.3333
Cd  0.0000  0.0000  0.5000
Cd  0.3333  0.6667  0.1667
Cd  0.6667  0.3333  0.8333
W  0.0000  0.0000  0.2510
W  0.0000  0.0000  0.7490
W  0.3333  0.6667  0.4157
W  0.3333  0.6667  0.9177
W  0.6667  0.3333  0.0823
W  0.6667  0.3333  0.5843

---

Below is TaCdW2 after structural relaxation, with properties calculated at the GGA-PBE level.

Calculated values
Magnetization ... 0.0 μB/cell
Theoretical density ... 15.7 g/cm3
DOS(E_F) ... 1.06 states/eV per atom
E_tot ... -9.1288 eV per atom

Cell: 3.9865 3.9865 8.8012 Å, 90.00 90.00 90.00°
Sites, in units of the cell vectors:
Ta  0.0000  0.0000  0.0000
Ta  0.5000  0.5000  0.5000
Cd  0.0000  0.0000  0.5000
Cd  0.5000  0.5000  0.0000
W  0.0000  0.5000  0.2500
W  0.0000  0.5000  0.7500
W  0.5000  0.0000  0.2500
W  0.5000  0.0000  0.7500

---

Below is Ta2CdW after structural relaxation, with properties calculated at the GGA-PBE level.

Calculated values
Magnetization ... 0.0 μB/cell
Theoretical density ... 15.0 g/cm3
DOS(E_F) ... 0.82 states/eV per atom
E_tot ... -9.1438 eV per atom

Cell: 2.8069 4.5568 5.8455 Å, 90.00 103.25 90.00°
Sites, in units of the cell vectors:
Ta  0.2168  0.0000  0.2697
Ta  0.7832  0.0000  0.7303
Cd  0.5000  0.5000  0.0000
W  0.0000  0.5000  0.5000